1.
# PBEsol ReBS2, optimized geometry
# * D(E_F): 0.234 states/eV/atom
# * crystal system: tetragonal
# * raw formation energy: 0.17 eV per atom
data_ReBS2
_cell_length_a 4.970
_cell_length_b 4.970
_cell_length_c 8.977
_cell_angle_alpha 90.00
_cell_angle_beta 90.00
_cell_angle_gamma 90.00
_symmetry_space_group_name_H-M 'I -4 2 d'
_symmetry_Int_Tables_number 122
_symmetry_space_group_name_Hall 'I -4 2bw'
loop_
_atom_site_label
_atom_site_type_symbol
_atom_site_fract_x
_atom_site_fract_y
_atom_site_fract_z
Re1 Re 0.000 0.000 0.000
B1 B 0.000 0.000 0.500
S1 S 0.192 0.750 0.625


2.
# PBEsol DyCu5Sn, optimized geometry
# * D(E_F): 0.279 states/eV/atom
# * crystal system: orthorhombic
# * calculated formation energy: -0.278 eV/atom
data_DyCu5Sn
_cell_length_a 8.092
_cell_length_b 4.903
_cell_length_c 10.432
_cell_angle_alpha 90.00
_cell_angle_beta 90.00
_cell_angle_gamma 90.00
_symmetry_space_group_name_H-M 'P n m a'
_symmetry_Int_Tables_number 62
_symmetry_space_group_name_Hall '-P 2ac 2n'
loop_
_atom_site_label
_atom_site_type_symbol
_atom_site_fract_x
_atom_site_fract_y
_atom_site_fract_z
Dy1 Dy 0.250 0.250 0.062
Cu1 Cu 0.058 0.250 0.602
Cu2 Cu 0.069 0.501 0.812
Cu3 Cu 0.084 0.750 0.017
Cu4 Cu 0.183 0.750 0.242
Sn1 Sn 0.138 0.250 0.361


3.
# PBEsol NaLiPS2, optimized geometry
# * D(E_F): 1.057 states/eV/atom
# * crystal system: tetragonal
# * raw formation energy: 0.69 eV per atom
data_NaLiPS2
_cell_length_a 4.907
_cell_length_b 4.907
_cell_length_c 4.789
_cell_angle_alpha 90.00
_cell_angle_beta 90.00
_cell_angle_gamma 90.00
_symmetry_space_group_name_H-M 'P 4/m m m'
_symmetry_Int_Tables_number 123
_symmetry_space_group_name_Hall '-P 4 2'
loop_
_atom_site_label
_atom_site_type_symbol
_atom_site_fract_x
_atom_site_fract_y
_atom_site_fract_z
Na1 Na 0.000 0.000 0.000
Li1 Li 0.500 0.500 0.500
P1 P 0.000 0.000 0.500
S1 S 0.000 0.500 0.000


4.
# PBEsol TlFeSi2, optimized geometry
# * D(E_F): 1.040 states/eV/atom
# * crystal system: tetragonal
# * raw formation energy: 0.65 eV per atom
data_TlFeSi2
_cell_length_a 3.940
_cell_length_b 3.940
_cell_length_c 8.290
_cell_angle_alpha 90.00
_cell_angle_beta 90.00
_cell_angle_gamma 90.00
_symmetry_space_group_name_H-M 'I 4/m m m'
_symmetry_Int_Tables_number 139
_symmetry_space_group_name_Hall '-I 4 2'
loop_
_atom_site_label
_atom_site_type_symbol
_atom_site_fract_x
_atom_site_fract_y
_atom_site_fract_z
Tl1 Tl 0.000 0.000 0.000
Fe1 Fe 0.000 0.000 0.500
Si1 Si 0.000 0.500 0.250


5.
# PBEsol ReNiIr, optimized geometry
# * D(E_F): 0.695 states/eV/atom
# * crystal system: orthorhombic
# * calculated formation energy: -0.159 eV/atom
data_ReNiIr
_cell_length_a 2.692
_cell_length_b 3.706
_cell_length_c 7.842
_cell_angle_alpha 90.00
_cell_angle_beta 90.00
_cell_angle_gamma 90.00
_symmetry_space_group_name_H-M 'I m m 2'
_symmetry_Int_Tables_number 44
_symmetry_space_group_name_Hall 'I 2 -2'
loop_
_atom_site_label
_atom_site_type_symbol
_atom_site_fract_x
_atom_site_fract_y
_atom_site_fract_z
Re1 Re 0.000 0.000 0.000
Ni1 Ni 0.000 0.000 0.663
Ir1 Ir 0.000 0.000 0.333


6.
# PBEsol FeCuNiC2, optimized geometry
# * D(E_F): 0.633 states/eV/atom
# * crystal system: tetragonal
# * calculated formation energy: 2.221 eV/atom
data_FeCuNiC2
_cell_length_a 3.613
_cell_length_b 3.613
_cell_length_c 4.485
_cell_angle_alpha 90.00
_cell_angle_beta 90.00
_cell_angle_gamma 90.00
_symmetry_space_group_name_H-M 'P 4/m m m'
_symmetry_Int_Tables_number 123
_symmetry_space_group_name_Hall '-P 4 2'
loop_
_atom_site_label
_atom_site_type_symbol
_atom_site_fract_x
_atom_site_fract_y
_atom_site_fract_z
Fe1 Fe 0.000 0.000 0.000
Cu1 Cu 0.000 0.000 0.500
Ni1 Ni 0.500 0.500 0.000
C1 C 0.000 0.500 0.500


7.
# PBEsol LaCd2Au, optimized geometry
# * D(E_F): 0.632 states/eV/atom
# * crystal system: orthorhombic
# * calculated formation energy: -0.332 eV/atom
data_LaCd2Au
_cell_length_a 3.709
_cell_length_b 5.131
_cell_length_c 9.996
_cell_angle_alpha 90.00
_cell_angle_beta 90.00
_cell_angle_gamma 90.00
_symmetry_space_group_name_H-M 'I m m m'
_symmetry_Int_Tables_number 71
_symmetry_space_group_name_Hall '-I 2 2'
loop_
_atom_site_label
_atom_site_type_symbol
_atom_site_fract_x
_atom_site_fract_y
_atom_site_fract_z
La1 La 0.000 0.000 0.000
Cd1 Cd 0.000 0.500 0.222
Au1 Au 0.000 0.000 0.500


8.
# PBEsol ZrSiAs2, optimized geometry
# * D(E_F): 0.651 states/eV/atom
# * crystal system: trigonal
# * raw formation energy: -0.03 eV per atom
data_ZrSiAs2
_cell_length_a 2.9870
_cell_length_b 2.9870
_cell_length_c 29.4164
_cell_angle_alpha 90.00
_cell_angle_beta 90.00
_cell_angle_gamma 120.00
_symmetry_space_group_name_H-M 'R 3 m'
_symmetry_Int_Tables_number 160
_symmetry_space_group_name_Hall 'R 3 -2"'
loop_
_atom_site_label
_atom_site_type_symbol
_atom_site_fract_x
_atom_site_fract_y
_atom_site_fract_z
Zr1 Zr 0.0000 0.0000 0.0000
Si1 Si 0.0000 0.0000 0.7426
As1 As 0.0000 0.0000 0.2543
As2 As 0.0000 0.0000 0.4789


9.
# PBEsol ZnCu2Au, optimized geometry
# * D(E_F): 0.274 states/eV/atom
# * crystal system: orthorhombic
# * calculated formation energy: -0.078 eV/atom
data_ZnCu2Au
_cell_length_a 5.328
_cell_length_b 7.325
_cell_length_c 2.751
_cell_angle_alpha 90.00
_cell_angle_beta 90.00
_cell_angle_gamma 90.00
_symmetry_space_group_name_H-M 'C m m m'
_symmetry_Int_Tables_number 65
_symmetry_space_group_name_Hall '-C 2 2'
loop_
_atom_site_label
_atom_site_type_symbol
_atom_site_fract_x
_atom_site_fract_y
_atom_site_fract_z
Zn1 Zn 0.000 0.000 0.000
Cu1 Cu 0.250 0.250 0.500
Au1 Au 0.000 0.500 0.000


10.
# PBEsol NaCu2Si2, optimized geometry
# * D(E_F): 0.302 states/eV/atom
# * crystal system: tetragonal
# * raw formation energy: 0.04 eV per atom
data_NaCu2Si2
_cell_length_a 7.536
_cell_length_b 7.536
_cell_length_c 2.510
_cell_angle_alpha 90.00
_cell_angle_beta 90.00
_cell_angle_gamma 90.00
_symmetry_space_group_name_H-M 'P 4/m b m'
_symmetry_Int_Tables_number 127
_symmetry_space_group_name_Hall '-P 4 2ab'
loop_
_atom_site_label
_atom_site_type_symbol
_atom_site_fract_x
_atom_site_fract_y
_atom_site_fract_z
Na1 Na 0.000 0.000 0.000
Cu1 Cu 0.147 0.353 0.000
Si1 Si 0.145 0.645 0.500


11.
# PBEsol LiAuSe2, optimized geometry
# * D(E_F): 0.896 states/eV/atom
# * crystal system: trigonal
# * raw formation energy: -0.16 eV per atom
data_LiAuSe2
_cell_length_a 3.8653
_cell_length_b 3.8653
_cell_length_c 22.8491
_cell_angle_alpha 90.00
_cell_angle_beta 90.00
_cell_angle_gamma 120.00
_symmetry_space_group_name_H-M 'R -3 m'
_symmetry_Int_Tables_number 166
_symmetry_space_group_name_Hall '-R 3 2"'
loop_
_atom_site_label
_atom_site_type_symbol
_atom_site_fract_x
_atom_site_fract_y
_atom_site_fract_z
Li1 Li 0.0000 0.0000 0.0000
Au1 Au 0.0000 0.0000 0.5000
Se1 Se 0.0000 0.0000 0.1064


12.
# PBEsol Sr2YAlCu2O7, optimized geometry
# * D(E_F): 0.129 states/eV/atom
# * crystal system: orthorhombic
# * raw formation energy: -2.37 eV per atom
data_Sr2YAlCu2O7
_cell_length_a 22.483
_cell_length_b 5.459
_cell_length_c 5.321
_cell_angle_alpha 90.00
_cell_angle_beta 90.00
_cell_angle_gamma 90.00
_symmetry_space_group_name_H-M 'I m a 2'
_symmetry_Int_Tables_number 46
_symmetry_space_group_name_Hall 'I 2 -2a'
loop_
_atom_site_label
_atom_site_type_symbol
_atom_site_fract_x
_atom_site_fract_y
_atom_site_fract_z
Sr1 Sr 0.152 0.017 0.000
Y1 Y 0.000 0.000 0.998
Al1 Al 0.250 0.574 0.035
Cu1 Cu 0.073 0.501 0.997
O1 O 0.062 0.247 0.750
O2 O 0.065 0.748 0.745
O3 O 0.179 0.051 0.474
O4 O 0.250 0.642 0.365